Entry i
First-principles (GGA-PBE) data for a geometry-optimized Ge2AsN structure, as listed in Alexandria via LeMat-Bulk.

Unit cell a=6.2981 b=6.2981 c=6.2981 alpha=90.00 beta=90.00 gamma=90.00
With the nearest neighbours (Å) after each atom.
Sites, in units of the cell vectors:
Ge1 0.2500 0.2500 0.2500  4 N 2.73, 4 As 2.73
Ge2 0.2500 0.2500 0.7500  4 As 2.73, 4 N 2.73
Ge3 0.2500 0.7500 0.2500  4 As 2.73, 4 N 2.73
Ge4 0.2500 0.7500 0.7500  4 As 2.73, 4 N 2.73
Ge5 0.7500 0.2500 0.2500  4 As 2.73, 4 N 2.73
Ge6 0.7500 0.2500 0.7500  4 As 2.73, 4 N 2.73
Ge7 0.7500 0.7500 0.2500  4 As 2.73, 4 N 2.73
Ge8 0.7500 0.7500 0.7500  4 As 2.73, 4 N 2.73
As1 0.0000 0.0000 0.0000  8 Ge 2.73
As2 0.0000 0.5000 0.5000  8 Ge 2.73
As3 0.5000 0.0000 0.5000  8 Ge 2.73
As4 0.5000 0.5000 0.0000  8 Ge 2.73
N1 0.0000 0.0000 0.5000  8 Ge 2.73
N2 0.0000 0.5000 0.0000  8 Ge 2.73
N3 0.5000 0.0000 0.0000  8 Ge 2.73
N4 0.5000 0.5000 0.5000  8 Ge 2.73

Values from the calculation:
Spin magnetization   0.53 μB per cell
D(E_F)   0.60 states/eV per atom

---

Entry ii
First-principles (GGA-PBE) data for a geometry-optimized Ge2AsN structure, as listed in Alexandria via LeMat-Bulk.

Unit cell a=5.8424 b=5.8424 c=8.2877 alpha=90.00 beta=90.00 gamma=90.00
With the nearest neighbours (Å) after each atom.
Sites, in units of the cell vectors:
Ge1 0.1799 0.2500 0.1250  2 N 2.08
Ge2 0.2500 0.6799 0.3750  2 N 2.08
Ge3 0.2500 0.8201 0.8750  2 N 2.08
Ge4 0.3201 0.2500 0.6250  2 N 2.08
Ge5 0.6799 0.7500 0.6250  2 N 2.08
Ge6 0.7500 0.1799 0.8750  2 N 2.08
Ge7 0.7500 0.3201 0.3750  2 N 2.08
Ge8 0.8201 0.7500 0.1250  2 N 2.08
As1 0.0000 0.0000 0.5000  4 Ge 2.59
As2 0.0000 0.5000 0.7500  4 Ge 2.59
As3 0.5000 0.0000 0.2500  4 Ge 2.59
As4 0.5000 0.5000 0.0000  4 Ge 2.59
N1 0.0000 0.0000 0.0000  4 Ge 2.08
N2 0.0000 0.5000 0.2500  4 Ge 2.08
N3 0.5000 0.0000 0.7500  4 Ge 2.08
N4 0.5000 0.5000 0.5000  4 Ge 2.08

Values from the calculation:
Spin magnetization   0.00 μB per cell
D(E_F)   0.57 states/eV per atom

---

The structure with the greatest stability is entry ii.

---

Entry i
First-principles (GGA-PBE) data for a geometry-optimized GeAs2SeN structure, as listed in Alexandria via LeMat-Bulk.

Unit cell a=4.3624 b=4.3624 c=4.6134 alpha=90.00 beta=90.00 gamma=90.00
With the nearest neighbours (Å) after each atom.
Sites, in units of the cell vectors:
Ge1 0.0000 0.0000 0.0000  4 Se 3.08, 8 As 3.17
As1 0.0000 0.5000 0.5000  2 N 2.18
As2 0.5000 0.0000 0.5000  2 N 2.18
Se1 0.5000 0.5000 0.0000  2 N 2.31
N1 0.5000 0.5000 0.5000  4 As 2.18, 2 Se 2.31

Values from the calculation:
Spin magnetization   0.00 μB per cell
D(E_F)   0.60 states/eV per atom

---

Entry ii
First-principles (GGA-PBE) data for a geometry-optimized GeAs2SeN structure, as listed in Alexandria via LeMat-Bulk.

Unit cell a=4.9982 b=4.9982 c=5.0523 alpha=90.00 beta=90.00 gamma=90.00
With the nearest neighbours (Å) after each atom.
Sites, in units of the cell vectors:
Ge1 0.0000 0.0000 0.0000  4 As 2.50, 2 Se 2.53
As1 0.0000 0.5000 0.0000  2 Ge 2.50
As2 0.5000 0.0000 0.0000  2 Ge 2.50
Se1 0.0000 0.0000 0.5000  2 Ge 2.53
N1 0.5000 0.5000 0.5000  4 Se 3.53, 8 As 3.55

Values from the calculation:
Spin magnetization   2.18 μB per cell
D(E_F)   0.72 states/eV per atom

---

The structure with the greatest stability is entry i.

---

Entry i
First-principles (GGA-PBE) data for a geometry-optimized GeTeAsN2 structure, as listed in Alexandria via LeMat-Bulk.

Unit cell a=3.7874 b=3.7874 c=7.8307 alpha=90.00 beta=90.00 gamma=90.00
With the nearest neighbours (Å) after each atom.
Sites, in units of the cell vectors:
Ge1 0.0000 0.0000 0.0000  4 N 1.89
Te1 0.0000 0.0000 0.5000  4 As 2.68
As1 0.5000 0.5000 0.5000  4 Te 2.68
N1 0.0000 0.5000 0.0000  2 Ge 1.89
N2 0.5000 0.0000 0.0000  2 Ge 1.89

Values from the calculation:
Spin magnetization   0.08 μB per cell
D(E_F)   0.92 states/eV per atom

---

Entry ii
First-principles (GGA-PBE) data for a geometry-optimized GeTeAsN2 structure, as listed in Alexandria via LeMat-Bulk.

Unit cell a=3.8626 b=3.8626 c=6.5476 alpha=90.00 beta=90.00 gamma=90.00
With the nearest neighbours (Å) after each atom.
Sites, in units of the cell vectors:
Ge1 0.0000 0.0000 0.0000  4 Te 2.73
Te1 0.5000 0.5000 0.0000  4 Ge 2.73
As1 0.5000 0.5000 0.5000  4 N 1.93
N1 0.0000 0.5000 0.5000  2 As 1.93
N2 0.5000 0.0000 0.5000  2 As 1.93

Values from the calculation:
Spin magnetization   0.48 μB per cell
D(E_F)   0.46 states/eV per atom

---

The structure with the greatest stability is entry i.